LiSbAs2: optimized geometry, PBE.

DOS(E_F)   1.92 states/eV/cell
E   -3.722 eV/atom
Crystal system   cubic
Space group   F-43m (216)
Formation energy (no corrections)   0.112 eV/atom

Lattice parameters (Å, degrees): 4.9078 4.9078 4.9078 60.00 60.00 60.00
Last column: nearest neighbours and their distance in Å.
Element x y z (fractional)
As (0.2500, 0.2500, 0.2500)  4 As 3.01, 4 Li 3.01
As (0.0000, 0.0000, 0.0000)  4 As 3.01, 4 Sb 3.01
Sb (0.7500, 0.7500, 0.7500)  4 As 3.01, 4 Li 3.01
Li (0.5000, 0.5000, 0.5000)  4 As 3.01, 4 Sb 3.01